1.
# Sr5In4Ga

Sr5In4Ga after structural relaxation (GGA-PBE, Alexandria).

Calculated values
**Density of states at the Fermi level**: 7.95 states/eV per cell
**Space-group type**: P4/mmm
**DFT formation energy**: -0.4133 eV/atom

a = 4.052 Å, b = 4.052 Å, c = 20.141 Å
α = 90.00°, β = 90.00°, γ = 90.00°
Fractional positions:
Sr 0.500 0.500 0.703
Sr 0.500 0.500 0.093
In 0.000 0.000 0.601
Sr 0.500 0.500 0.297
In 0.000 0.000 0.195
Sr 0.500 0.500 0.500
Sr 0.500 0.500 0.907
In 0.000 0.000 0.399
In 0.000 0.000 0.805
Ga 0.000 0.000 0.000

2.
# NpMoH2

NpMoH2 after structural relaxation (GGA-PBE, Alexandria).

Calculated values
**Density of states at the Fermi level**: 4.09 states/eV per cell
**Raw total energy**: -7.567 eV per atom
**Space-group type**: R-3m

a = 2.893 Å, b = 2.893 Å, c = 6.075 Å
α = 76.23°, β = 76.23°, γ = 60.00°
Each line ends with the local moment (μB).
Fractional positions:
Mo 0.000 0.000 0.000  0.08
H 0.726 0.726 0.822  0.00
Np 0.500 0.500 0.500  3.05
H 0.274 0.274 0.178  0.00

3.
# Ca2SiW

Ca2SiW after structural relaxation (GGA-PBE, Alexandria).

Calculated values
**Density of states at the Fermi level**: 8.11 states/eV per cell
**Space-group type**: I-42d
**E_form (uncorrected)**: 340 kJ/mol of formula units

a = 8.254 Å, b = 8.254 Å, c = 6.406 Å
α = 49.89°, β = 49.89°, γ = 90.00°
Fractional positions:
Ca 0.375 0.406 0.750
Ca 0.156 0.625 0.250
Ca 0.594 0.125 0.250
Si 0.250 0.750 0.500
W 0.750 0.250 0.500
Ca 0.875 0.844 0.750
W 0.000 0.000 0.000
Si 0.500 0.500 0.000